one) A relaxed RbYSn crystal. Source: Alexandria, functional GGA-PBE.

Computed properties:
mass density: 3.72 g/cm3
total moment: 0.0001 μB/atom

abc: 9.8269 3.7614 8.6309
angles: 90.08 55.00 89.75
With the nearest neighbours (Å) after each atom.
Positions (direct):
Y 0.7627 0.1540 0.5260  4 Sn 3.08-3.15
Y 0.7024 0.1559 0.1293  4 Sn 3.10-3.14
Rb 0.3017 0.1515 0.0715  4 Sn 3.69-3.82, 2 Rb 3.76
Rb 0.1505 0.1350 0.6805  2 Rb 3.76, 1 Y 3.85, 4 Sn 3.93-4.18
Sn 0.9361 0.6519 0.1695  4 Y 3.13-3.15
Sn 0.7114 0.6545 0.8386  4 Y 3.08-3.10

=====

two) A relaxed RbYSn crystal. Source: Alexandria, functional GGA-PBE.

Computed properties:
mass density: 4.46 g/cm3
total moment: 0.0000 μB/atom

abc: 7.8714 5.2139 10.6287
angles: 90.00 90.00 90.00
With the nearest neighbours (Å) after each atom.
Positions (direct):
Rb 0.1285 0.7500 0.5480  4 Sn 3.45-3.78, 2 Rb 3.45, 2 Y 3.79
Rb 0.6285 0.7500 0.9520  4 Sn 3.45-3.78, 2 Rb 3.45, 2 Y 3.79
Rb 0.8715 0.2500 0.4520  4 Sn 3.45-3.78, 2 Rb 3.45, 2 Y 3.79
Rb 0.3715 0.2500 0.0480  4 Sn 3.45-3.78, 2 Rb 3.45, 2 Y 3.79
Sn 0.1603 0.7500 0.8719  3 Y 3.13-3.16, 1 Rb 3.45
Sn 0.6603 0.7500 0.6281  3 Y 3.13-3.16, 1 Rb 3.45
Sn 0.8397 0.2500 0.1281  3 Y 3.13-3.16, 1 Rb 3.45
Sn 0.3397 0.2500 0.3719  3 Y 3.13-3.16, 1 Rb 3.45
Y 0.9443 0.2500 0.8408  3 Sn 3.13-3.16
Y 0.0557 0.7500 0.1592  3 Sn 3.13-3.16
Y 0.5557 0.7500 0.3408  3 Sn 3.13-3.16
Y 0.4443 0.2500 0.6592  3 Sn 3.13-3.16

=====

three) A relaxed RbYSn crystal. Source: Alexandria, functional GGA-PBE.

Computed properties:
mass density: 4.35 g/cm3
total moment: 0.0000 μB/atom

abc: 9.5555 5.3684 8.7269
angles: 90.00 90.00 90.00
With the nearest neighbours (Å) after each atom.
Positions (direct):
Sn 0.1831 0.2500 0.3821  4 Y 3.10-3.19
Sn 0.6831 0.2500 0.1179  4 Y 3.10-3.19
Sn 0.8169 0.7500 0.6179  4 Y 3.10-3.19
Sn 0.3169 0.7500 0.8821  4 Y 3.10-3.19
Rb 0.5032 0.7500 0.3538  2 Rb 3.70, 5 Sn 3.78-4.08, 4 Y 3.88-3.97
Rb 0.0032 0.7500 0.1462  2 Rb 3.70, 5 Sn 3.78-4.08, 4 Y 3.88-3.97
Rb 0.9968 0.2500 0.8538  2 Rb 3.70, 5 Sn 3.78-4.08, 4 Y 3.88-3.97
Rb 0.4968 0.2500 0.6462  2 Rb 3.70, 5 Sn 3.78-4.08, 4 Y 3.88-3.97
Y 0.6390 0.7500 0.9262  4 Sn 3.10-3.19
Y 0.3610 0.2500 0.0738  4 Sn 3.10-3.19
Y 0.1390 0.7500 0.5738  4 Sn 3.10-3.19
Y 0.8610 0.2500 0.4262  4 Sn 3.10-3.19

=====

Stability summary: most stable three), least stable two).

=====

one) A relaxed RbYSn crystal. Source: Alexandria, functional GGA-PBE.

Computed properties:
mass density: 3.40 g/cm3
total moment: 0.0000 μB/atom

abc: 4.7394 5.6798 12.0922
angles: 103.06 89.94 65.33
With the nearest neighbours (Å) after each atom.
Positions (direct):
Rb 0.2320 0.4082 0.5604  2 Sn 3.75
Rb 0.8566 0.1632 0.9113  2 Sn 3.75
Sn 0.9538 0.9661 0.3578  1 Sn 3.07, 5 Y 3.20-3.27
Sn 0.1351 0.6052 0.1141  1 Sn 3.07, 5 Y 3.20-3.27
Y 0.4211 0.0325 0.1846  1 Y 3.10, 5 Sn 3.20-3.27
Y 0.6677 0.5388 0.2872  1 Y 3.10, 5 Sn 3.20-3.27

=====

two) A relaxed RbYSn crystal. Source: Alexandria, functional GGA-PBE.

Computed properties:
mass density: 3.96 g/cm3
total moment: 0.0000 μB/atom

abc: 5.5794 5.5794 5.5794
angles: 60.00 60.00 60.00
With the nearest neighbours (Å) after each atom.
Positions (direct):
Y 0.7500 0.7500 0.7500  4 Sn 3.42
Rb 0.2500 0.2500 0.2500  4 Sn 3.42
Sn 0.5000 0.5000 0.5000  4 Y 3.42, 4 Rb 3.42

=====

Stability summary: most stable one), least stable two).

=====

one) A relaxed Rb3ZnSn crystal. Source: Alexandria, functional GGA-PBE.

Computed properties:
mass density: 1.96 g/cm3
total moment: 0.1999 μB/atom

abc: 7.2048 7.2048 7.2048
angles: 90.00 90.00 90.00
With the nearest neighbours (Å) after each atom.
Positions (direct):
Rb 0.5000 0.0000 0.0000  2 Sn 3.60
Rb 0.0000 0.0000 0.5000  2 Sn 3.60
Rb 0.0000 0.5000 0.0000  2 Sn 3.60
Sn 0.0000 0.0000 0.0000  6 Rb 3.60
Zn 0.5000 0.5000 0.5000  12 Rb 5.09

=====

two) A relaxed Rb3ZnSn crystal. Source: Alexandria, functional GGA-PBE.

Computed properties:
mass density: 2.98 g/cm3
total moment: 0.0000 μB/atom

abc: 8.7685 8.7685 8.6212
angles: 107.85 120.32 101.67
With the nearest neighbours (Å) after each atom.
Positions (direct):
Sn 0.6610 0.0697 0.7307  2 Zn 2.76-2.83, 1 Sn 3.09
Sn 0.3390 0.9303 0.2693  2 Zn 2.76-2.83, 1 Sn 3.09
Zn 0.3762 0.1993 0.5755  2 Sn 2.76-2.83
Zn 0.6238 0.8007 0.4245  2 Sn 2.76-2.83
Rb 0.7849 0.5941 0.7712  2 Zn 3.60-3.78, 1 Sn 4.01
Rb 0.1771 0.9863 0.7712  2 Zn 3.60-3.78, 1 Sn 4.01
Rb 0.8229 0.0137 0.2288  2 Zn 3.60-3.78, 1 Sn 4.01
Rb 0.7280 0.4461 0.1742  2 Zn 3.77-3.90, 1 Sn 3.88, 3 Rb 4.13-4.16
Rb 0.2151 0.4059 0.2288  2 Zn 3.60-3.78, 1 Sn 4.01
Rb 0.2720 0.5539 0.8258  2 Zn 3.77-3.90, 1 Sn 3.88, 3 Rb 4.13-4.16

=====

Stability summary: most stable two), least stable one).

=====

one) A relaxed Rb3Zn3Sn8 crystal. Source: Alexandria, functional GGA-PBE.

Computed properties:
mass density: 5.25 g/cm3
total moment: 0.0000 μB/atom

abc: 4.5601 9.7156 11.6578
angles: 62.63 78.72 76.43
With the nearest neighbours (Å) after each atom.
Positions (direct):
Zn 0.3344 0.2800 0.0511  4 Sn 2.79-2.82
Zn 0.6656 0.7200 0.9489  4 Sn 2.79-2.82
Zn 0.0000 0.5000 0.5000  2 Sn 2.66
Sn 0.8214 0.4400 0.9173  3 Zn 2.80-2.82
Sn 0.4591 0.3457 0.7360  1 Sn 2.94
Sn 0.1786 0.5600 0.0827  3 Zn 2.80-2.82
Sn 0.3894 0.9737 0.2474  1 Zn 2.79, 3 Sn 2.93-2.94
Sn 0.8887 0.8114 0.4112  1 Zn 2.66, 2 Sn 2.93
Sn 0.5409 0.6543 0.2640  1 Sn 2.94
Sn 0.6106 0.0263 0.7526  1 Zn 2.79, 3 Sn 2.93-2.94
Sn 0.1113 0.1886 0.5888  1 Zn 2.66, 2 Sn 2.93
Rb 0.2837 0.7558 0.6768  8 Sn 3.63-3.81, 2 Zn 3.75
Rb 0.0000 0.0000 0.0000  6 Sn 3.56-3.84, 4 Zn 3.73
Rb 0.7163 0.2442 0.3232  8 Sn 3.63-3.81, 2 Zn 3.75

=====

two) A relaxed Rb3Zn3Sn8 crystal. Source: Alexandria, functional GGA-PBE.

Computed properties:
mass density: 5.56 g/cm3
total moment: 0.0000 μB/atom

abc: 4.8008 9.6715 9.6715
angles: 80.92 75.63 75.63
With the nearest neighbours (Å) after each atom.
Positions (direct):
Rb 0.7537 0.2463 0.2463  1 Rb 3.53, 8 Sn 3.57-3.88, 2 Zn 3.69
Rb 0.5000 0.5000 0.5000  2 Rb 3.53, 8 Sn 3.72
Rb 0.2463 0.7537 0.7537  1 Rb 3.53, 8 Sn 3.57-3.88, 2 Zn 3.69
Sn 0.6421 0.6819 0.0339  3 Zn 2.96-3.22, 2 Sn 2.97
Sn 0.6421 0.0339 0.6819  3 Zn 2.96-3.22, 2 Sn 2.97
Sn 0.8857 0.4267 0.8019  3 Sn 2.97-3.18, 1 Zn 3.01
Sn 0.3579 0.3181 0.9661  3 Zn 2.96-3.22, 2 Sn 2.97
Sn 0.3579 0.9661 0.3181  3 Zn 2.96-3.22, 2 Sn 2.97
Sn 0.1143 0.5733 0.1981  3 Sn 2.97-3.18, 1 Zn 3.01
Sn 0.1143 0.1981 0.5733  3 Sn 2.97-3.18, 1 Zn 3.01
Sn 0.8857 0.8019 0.4267  3 Sn 2.97-3.18, 1 Zn 3.01
Zn 0.0000 0.8910 0.1090  3 Zn 2.74-2.76, 2 Sn 3.01
Zn 0.0000 0.1090 0.8910  3 Zn 2.74-2.76, 2 Sn 3.01
Zn 0.5000 0.0000 0.0000  4 Zn 2.76, 4 Sn 2.96

=====

Stability summary: most stable two), least stable one).

=====

one) A relaxed Rb2Zr2Sn crystal. Source: Alexandria, functional GGA-PBE.

Computed properties:
mass density: 4.26 g/cm3
total moment: 0.0000 μB/atom

abc: 7.3798 7.3798 6.7594
angles: 90.00 90.00 90.00
With the nearest neighbours (Å) after each atom.
Positions (direct):
Rb 0.8008 0.3008 0.5000  5 Rb 3.77-4.16, 6 Zr 3.83-4.19
Rb 0.1992 0.6992 0.5000  5 Rb 3.77-4.16, 6 Zr 3.83-4.19
Rb 0.3008 0.1992 0.5000  5 Rb 3.77-4.16, 6 Zr 3.83-4.19
Rb 0.6992 0.8008 0.5000  5 Rb 3.77-4.16, 6 Zr 3.83-4.19
Zr 0.3725 0.8725 0.0000  1 Zr 2.66, 2 Sn 2.91
Zr 0.1275 0.3725 0.0000  1 Zr 2.66, 2 Sn 2.91
Zr 0.8725 0.6275 0.0000  1 Zr 2.66, 2 Sn 2.91
Zr 0.6275 0.1275 0.0000  1 Zr 2.66, 2 Sn 2.91
Sn 0.5000 0.5000 0.0000  4 Zr 2.91
Sn 0.0000 0.0000 0.0000  4 Zr 2.91

=====

two) A relaxed Rb2Zr2Sn crystal. Source: Alexandria, functional GGA-PBE.

Computed properties:
mass density: 4.74 g/cm3
total moment: 0.0000 μB/atom

abc: 4.3784 4.3784 9.1580
angles: 76.17 76.17 90.00
With the nearest neighbours (Å) after each atom.
Positions (direct):
Zr 0.5686 0.5686 0.8628  1 Zr 2.36
Zr 0.4314 0.4314 0.1372  1 Zr 2.36
Rb 0.2500 0.7500 0.5000  4 Rb 3.10
Rb 0.7500 0.2500 0.5000  4 Rb 3.10
Sn 0.0000 0.0000 0.0000  8 Zr 3.31

=====

Stability summary: most stable one), least stable two).

=====

one) A relaxed RbZrSn2 crystal. Source: Alexandria, functional GGA-PBE.

Computed properties:
mass density: 6.04 g/cm3
total moment: 0.0001 μB/atom

abc: 5.4405 5.4405 5.4405
angles: 60.00 60.00 60.00
With the nearest neighbours (Å) after each atom.
Positions (direct):
Sn 0.7500 0.7500 0.7500  4 Zr 3.33, 4 Rb 3.33
Sn 0.2500 0.2500 0.2500  4 Zr 3.33, 4 Rb 3.33
Zr 0.5000 0.5000 0.5000  8 Sn 3.33
Rb 0.0000 0.0000 0.0000  8 Sn 3.33

=====

two) A relaxed RbZrSn2 crystal. Source: Alexandria, functional GGA-PBE.

Computed properties:
mass density: 3.71 g/cm3
total moment: 0.0000 μB/atom

abc: 6.2942 6.2942 10.3599
angles: 72.32 72.32 90.00
With the nearest neighbours (Å) after each atom.
Positions (direct):
Sn 0.8750 0.0720 0.7500  2 Zr 2.84
Sn 0.3750 0.1780 0.7500  2 Zr 2.84
Sn 0.8220 0.1250 0.2500  2 Zr 2.84
Sn 0.9280 0.6250 0.2500  2 Zr 2.84
Zr 0.7500 0.2500 0.5000  4 Sn 2.84
Zr 0.0000 0.0000 0.0000  4 Sn 2.84
Rb 0.2500 0.7500 0.5000  4 Sn 3.98, 4 Zr 4.45
Rb 0.5000 0.5000 0.0000  4 Sn 3.98, 4 Zr 4.45

=====

Stability summary: most stable two), least stable one).

=====

one) A relaxed Rb3Sr crystal. Source: Alexandria, functional GGA-PBE.

Computed properties:
mass density: 1.81 g/cm3
total moment: 0.0000 μB/atom

abc: 8.3334 8.3334 8.3334
angles: 131.80 131.80 70.54
With the nearest neighbours (Å) after each atom.
Positions (direct):
Rb 0.5000 0.5000 0.0000  8 Rb 4.81, 4 Sr 4.81
Rb 0.2500 0.7500 0.5000  8 Rb 4.81, 4 Sr 4.81
Rb 0.7500 0.2500 0.5000  8 Rb 4.81, 4 Sr 4.81
Sr 0.0000 0.0000 0.0000  12 Rb 4.81

=====

two) A relaxed Rb3Sr crystal. Source: Alexandria, functional GGA-PBE.

Computed properties:
mass density: 1.54 g/cm3
total moment: 0.0000 μB/atom

abc: 6.6471 6.6471 9.6784
angles: 90.00 90.00 120.00
With the nearest neighbours (Å) after each atom.
Positions (direct):
Rb 0.0000 0.0000 0.0048  3 Sr 4.51, 5 Rb 4.56-4.93
Rb 0.3333 0.6667 0.7500  6 Rb 4.56, 2 Sr 4.84
Rb 0.0000 0.0000 0.4952  3 Sr 4.51, 5 Rb 4.56-4.93
Sr 0.3333 0.6667 0.2500  8 Rb 4.51-4.84

=====

Stability summary: most stable one), least stable two).

=====

one) A relaxed Rb3Sr crystal. Source: Alexandria, functional GGA-PBE.

Computed properties:
mass density: 1.81 g/cm3
total moment: 0.0000 μB/atom

abc: 7.6354 7.6354 7.6354
angles: 60.00 60.00 60.00
With the nearest neighbours (Å) after each atom.
Positions (direct):
Rb 0.2500 0.2500 0.2500  4 Rb 4.68, 4 Sr 4.68
Rb 0.7500 0.7500 0.7500  4 Rb 4.68, 4 Sr 4.68
Rb 0.5000 0.5000 0.5000  8 Rb 4.68
Sr 0.0000 0.0000 0.0000  8 Rb 4.68

=====

two) A relaxed Rb3Sr crystal. Source: Alexandria, functional GGA-PBE.

Computed properties:
mass density: 1.84 g/cm3
total moment: 0.0000 μB/atom

abc: 4.6248 7.8692 8.5341
angles: 90.00 90.00 90.00
With the nearest neighbours (Å) after each atom.
Positions (direct):
Rb 0.5000 0.0000 0.5116  8 Rb 4.62-4.86, 4 Sr 4.84-4.87
Rb 0.5000 0.5000 0.8313  8 Rb 4.62-4.98, 4 Sr 4.81
Rb 0.0000 0.5000 0.3145  10 Rb 4.62-4.98, 2 Sr 4.72
Sr 0.0000 0.0000 0.0093  2 Sr 4.62, 10 Rb 4.72-4.87

=====

Stability summary: most stable two), least stable one).

=====

one) A relaxed Rb3Sr crystal. Source: Alexandria, functional GGA-PBE.

Computed properties:
mass density: 1.81 g/cm3
total moment: 0.0000 μB/atom

abc: 6.8039 6.8039 6.8039
angles: 90.00 90.00 90.00
With the nearest neighbours (Å) after each atom.
Positions (direct):
Rb 0.5000 0.0000 0.0000  8 Rb 4.81, 4 Sr 4.81
Rb 0.0000 0.0000 0.5000  8 Rb 4.81, 4 Sr 4.81
Rb 0.0000 0.5000 0.0000  8 Rb 4.81, 4 Sr 4.81
Sr 0.5000 0.5000 0.5000  12 Rb 4.81

=====

two) A relaxed Rb3Sr crystal. Source: Alexandria, functional GGA-PBE.

Computed properties:
mass density: 1.84 g/cm3
total moment: 0.0000 μB/atom

abc: 4.6062 8.5137 9.2724
angles: 117.33 104.38 90.00
With the nearest neighbours (Å) after each atom.
Positions (direct):
Rb 0.5000 0.5089 0.0000  8 Rb 4.61-4.89, 4 Sr 4.82-4.86
Rb 0.2539 0.5768 0.5078  9 Rb 4.61-4.89, 3 Sr 4.80-4.81
Rb 0.7461 0.0691 0.4922  9 Rb 4.61-4.89, 3 Sr 4.80-4.81
Sr 0.0000 0.0119 0.0000  2 Sr 4.61, 10 Rb 4.80-4.86

=====

Stability summary: most stable two), least stable one).

=====

one) A relaxed RbSr2Ta crystal. Source: Alexandria, functional GGA-PBE.

Computed properties:
mass density: 4.48 g/cm3
total moment: 0.9994 μB/atom

abc: 6.1420 6.1420 6.1420
angles: 60.00 60.00 60.00
With the nearest neighbours (Å) after each atom.
Positions (direct):
Rb 0.0000 0.0000 0.0000  8 Sr 3.76
Ta 0.5000 0.5000 0.5000  8 Sr 3.76
Sr 0.2500 0.2500 0.2500  4 Ta 3.76, 4 Rb 3.76
Sr 0.7500 0.7500 0.7500  4 Rb 3.76, 4 Ta 3.76

=====

two) A relaxed RbSr2Ta crystal. Source: Alexandria, functional GGA-PBE.

Computed properties:
mass density: 3.61 g/cm3
total moment: 1.2710 μB/atom

abc: 10.0980 10.0980 8.1762
angles: 51.86 51.86 90.00
With the nearest neighbours (Å) after each atom.
Positions (direct):
Ta 0.0000 0.0000 0.0000  4 Sr 3.33
Ta 0.7500 0.2500 0.5000  4 Sr 3.33
Sr 0.3750 0.3166 0.7500  2 Ta 3.33
Sr 0.6834 0.1250 0.2500  2 Ta 3.33
Sr 0.0666 0.6250 0.2500  2 Ta 3.33
Sr 0.8750 0.9334 0.7500  2 Ta 3.33
Rb 0.5000 0.5000 0.0000  2 Ta 3.98, 8 Sr 4.13-4.36
Rb 0.2500 0.7500 0.5000  2 Ta 3.98, 8 Sr 4.13-4.36

=====

Stability summary: most stable one), least stable two).

=====

one) A relaxed RbSrTc2 crystal. Source: Alexandria, functional GGA-PBE.

Computed properties:
mass density: 5.28 g/cm3
total moment: 1.5730 μB/atom

abc: 5.4771 5.4771 5.4771
angles: 60.00 60.00 60.00
With the nearest neighbours (Å) after each atom.
Positions (direct):
Tc 0.7500 0.7500 0.7500  4 Sr 3.35, 4 Rb 3.35
Tc 0.2500 0.2500 0.2500  4 Rb 3.35, 4 Sr 3.35
Rb 0.0000 0.0000 0.0000  8 Tc 3.35
Sr 0.5000 0.5000 0.5000  8 Tc 3.35

=====

two) A relaxed RbSrTc2 crystal. Source: Alexandria, functional GGA-PBE.

Computed properties:
mass density: 5.57 g/cm3
total moment: 1.0165 μB/atom

abc: 8.9078 8.9078 6.8814
angles: 49.67 49.67 90.00
With the nearest neighbours (Å) after each atom.
Positions (direct):
Tc 0.6272 0.1250 0.2500  2 Tc 2.77
Tc 0.3750 0.3728 0.7500  2 Tc 2.77
Tc 0.1228 0.6250 0.2500  2 Tc 2.77
Tc 0.8750 0.8772 0.7500  2 Tc 2.77
Sr 0.0000 0.0000 0.0000  2 Rb 2.77
Sr 0.7500 0.2500 0.5000  2 Rb 2.77
Rb 0.5000 0.5000 0.0000  2 Sr 2.77
Rb 0.2500 0.7500 0.5000  2 Sr 2.77

=====

Stability summary: most stable one), least stable two).

=====

one) A relaxed RbSr3Tc crystal. Source: Alexandria, functional GGA-PBE.

Computed properties:
mass density: 2.99 g/cm3
total moment: 0.2700 μB/atom

abc: 6.2787 6.2787 6.2787
angles: 90.00 90.00 90.00
With the nearest neighbours (Å) after each atom.
Positions (direct):
Tc 0.5000 0.5000 0.5000  12 Sr 4.44
Rb 0.0000 0.0000 0.0000  6 Sr 3.14
Sr 0.0000 0.0000 0.5000  2 Rb 3.14
Sr 0.0000 0.5000 0.0000  2 Rb 3.14
Sr 0.5000 0.0000 0.0000  2 Rb 3.14

=====

two) A relaxed RbSr3Tc crystal. Source: Alexandria, functional GGA-PBE.

Computed properties:
mass density: 3.22 g/cm3
total moment: 0.3243 μB/atom

abc: 6.1308 6.1308 6.1308
angles: 90.00 90.00 90.00
With the nearest neighbours (Å) after each atom.
Positions (direct):
Sr 0.5000 0.0000 0.0000  2 Tc 3.07
Sr 0.0000 0.5000 0.0000  2 Tc 3.07
Sr 0.0000 0.0000 0.5000  2 Tc 3.07
Rb 0.5000 0.5000 0.5000  12 Sr 4.34
Tc 0.0000 0.0000 0.0000  6 Sr 3.07

=====

Stability summary: most stable two), least stable one).